Below is Pu2Bi3Rh4 after structural relaxation, with properties calculated at the GGA-PBE level.

The structure in POSCAR format:
```
Pu2Bi3Rh4
1.0
5.1224 -2.0811 0.0000
5.1224 2.0811 0.0000
-0.7935 0.0000 9.3877
Pu Bi Rh
2 3 4
direct
0.1637 0.1637 0.2867 Pu
0.8363 0.8363 0.7133 Pu
0.1263 0.1263 0.8881 Bi
0.5000 0.5000 0.5000 Bi
0.8737 0.8737 0.1119 Bi
0.1921 0.1921 0.5918 Rh
0.4008 0.4008 0.8978 Rh
0.5992 0.5992 0.1022 Rh
0.8079 0.8079 0.4082 Rh
```



Below is PuBiRh2 after structural relaxation, with properties calculated at the GGA-PBE level.

The structure in POSCAR format:
```
PuBiRh2
1.0
6.2159 0.0000 0.0000
-3.1080 5.3831 0.0000
0.0000 0.0000 7.6278
Pu Bi Rh
3 3 6
direct
0.0000 0.6129 0.1667 Pu
0.3871 0.3871 0.5000 Pu
0.6129 0.0000 0.8333 Pu
0.0000 0.8234 0.6667 Bi
0.1766 0.1766 0.0000 Bi
0.8234 0.0000 0.3333 Bi
0.1888 0.5375 0.7981 Rh
0.3487 0.8112 0.4647 Rh
0.4625 0.6513 0.1314 Rh
0.5375 0.1888 0.2019 Rh
0.6513 0.4625 0.8686 Rh
0.8112 0.3487 0.5353 Rh
```



Below is Pu2BiRh2 after structural relaxation, with properties calculated at the GGA-PBE level.

Energy relative to the lowest polymorph listed for this composition, eV per atom: 0.000

The structure in POSCAR format:
```
Pu2BiRh2
1.0
7.6235 0.0000 0.0000
0.0000 7.6235 0.0000
0.0000 0.0000 3.7576
Pu Bi Rh
4 2 4
direct
0.1722 0.3278 0.0000 Pu
0.3278 0.8278 0.0000 Pu
0.6722 0.1722 0.0000 Pu
0.8278 0.6722 0.0000 Pu
0.0000 0.0000 0.5000 Bi
0.5000 0.5000 0.5000 Bi
0.1305 0.6305 0.5000 Rh
0.3695 0.1305 0.5000 Rh
0.6305 0.8695 0.5000 Rh
0.8695 0.3695 0.5000 Rh
```



no.,energy of formation from the pure elements (eV/atom),total moment (μB per cell)
1,-0.21,9.3
2,-0.27,13.4
3,-0.49,19.4